Material: NaLiCe2Se4
Method: DFT, PBE
State: optimized geometry

ΔE_f (raw) = -1.60 eV per atom
DOS(E_F) = 12.837 states/eV/cell
V = 212 Å³ per cell
space group = P2/m (10)

a = 7.1628 Å, b = 4.2644 Å, c = 7.3883 Å
α = 90.00°, β = 110.14°, γ = 90.00°
Atoms (fractional coordinates):
Na 0.0000 0.0000 0.0000
Li 0.0000 0.5000 0.5000
Ce 0.5000 0.0000 0.5000
Ce 0.5000 0.5000 0.0000
Se 0.2511 0.0000 0.7461
Se 0.2550 0.5000 0.2557
Se 0.7450 0.5000 0.7443
Se 0.7489 0.0000 0.2539